Here is a relaxed structure of Ca2PmCuS4 from Alexandria via LeMat-Bulk. Energies are from PBE-GGA.

The structure in extended XYZ format:
```
8
Lattice="3.9938 0.0000 0.0000 0.0000 6.8092 0.0206 0.0000 -2.4735 6.5015" Properties=species:S:1:pos:R:3 pbc="T T T"
Ca 1.9969 -1.2367 3.2507
Ca 0.0000 2.1679 3.2610
Pm 1.9969 3.4046 0.0103
Cu 0.0000 0.0000 0.0000
S 1.9969 1.0199 1.5099
S 1.9969 3.3159 5.0122
S 0.0000 -0.1234 4.8630
S 0.0000 4.4591 1.6591
```

Values from the calculation:
ΔE_f (raw): -1.614 eV/atom
SG: No. 10
Energy: -5.28 eV per atom

***

Here is a relaxed structure of CaRe from Alexandria via LeMat-Bulk. Energies are from PBE-GGA.

The structure in extended XYZ format:
```
2
Lattice="-3.5935 1.8400 -3.6230 -3.4667 -1.0617 -4.0348 -5.0959 0.0412 -1.8588" Properties=species:S:1:pos:R:3 pbc="T T T"
Re -6.0781 0.4097 -4.7583
Ca 0.0000 0.0000 0.0000
```

Values from the calculation:
SG: No. 166
Energy: -6.26 eV per atom
ΔE to the lowest computed polymorph: 665 meV per atom

***

Here is a relaxed structure of AgIrS2N from Alexandria via LeMat-Bulk. Energies are from PBE-GGA.

The structure in extended XYZ format:
```
5
Lattice="-2.1984 3.8710 -2.1185 -3.6952 -0.3211 3.2478 1.7837 2.2451 2.2513" Properties=species:S:1:pos:R:3 pbc="T T T"
S -1.8476 -0.1606 1.6239
S -1.0992 1.9355 -1.0592
Ir 0.0000 0.0000 0.0000
Ag -2.0550 2.8975 1.6903
N 0.8918 1.1225 1.1257
```

Values from the calculation:
ΔE_f (raw): 0.556 eV/atom
SG: No. 123
Energy: -5.10 eV per atom
ΔE to the lowest computed polymorph: 0 meV per atom

***

Here is a relaxed structure of CsRb2ZnCd from Alexandria via LeMat-Bulk. Energies are from PBE-GGA.

The structure in extended XYZ format:
```
5
Lattice="-3.9505 -6.2329 0.3325 3.2242 -1.7008 6.4248 -3.8310 2.5669 2.6020" Properties=species:S:1:pos:R:3 pbc="T T T"
Cs -2.2786 -2.6834 4.6797
Zn -1.9155 1.2834 1.3010
Rb 1.6121 -0.8504 3.2124
Rb -1.9752 -3.1165 0.1663
Cd 0.0000 0.0000 0.0000
```

Values from the calculation:
SG: No. 123
Energy: -0.87 eV per atom
ΔE to the lowest computed polymorph: 22 meV per atom

***

Here is a relaxed structure of CeHgAu3 from Alexandria via LeMat-Bulk. Energies are from PBE-GGA.

The structure in extended XYZ format:
```
10
Lattice="-3.5167 3.7476 -1.4118 -2.8602 -1.5231 3.0815 5.7649 6.5581 5.3479" Properties=species:S:1:pos:R:3 pbc="T T T"
Ce 3.4145 4.6526 5.4690
Ce -4.0266 4.1300 1.5485
Hg -0.7926 3.5688 1.0283
Hg 0.1805 5.2138 5.9892
Au 0.2525 7.8192 7.3438
Au -0.8646 0.9634 -0.3263
Au -1.0875 3.2395 3.8364
Au 0.4755 5.5431 3.1811
Au -2.2067 6.1250 4.2238
Au 1.5946 2.6576 2.7937
```

Values from the calculation:
SG: No. 12
Energy: -3.52 eV per atom

***

| no. | V (Å³/cell) |
| --- | --- |
| 1 | 177.01 |
| 2 | 38.40 |
| 3 | 88.61 |
| 4 | 288.92 |
| 5 | 237.70 |